No. 1
A plane-wave DFT calculation with GGA-PBEsol was carried out for Tl2SbSe after structural relaxation.

Space-group type: R3m (160)
Distance to the lowest polymorph of the same formula: 0.000 eV per atom
Total moment: 0.00 μB per formula unit
Uncorrected formation energy: -0.03 eV per atom

Lattice parameters (Å, degrees): 9.6307 9.6307 9.6307 21.92 21.92 21.92
Sites, in units of the cell vectors:
Tl  0.0000  0.0000  0.0000
Tl  0.2368  0.2368  0.2368
Sb  0.4792  0.4792  0.4792
Se  0.7458  0.7458  0.7458

No. 2
A plane-wave DFT calculation with GGA-PBEsol was carried out for AlIr2Se after structural relaxation.

Space-group type: R3m (160)
Distance to the lowest polymorph of the same formula: 0.242 eV per atom
Total moment: 0.00 μB per formula unit
Uncorrected formation energy: 0.10 eV per atom

Lattice parameters (Å, degrees): 8.0830 8.0830 8.0830 21.33 21.33 21.33
Sites, in units of the cell vectors:
Al  0.0000  0.0000  0.0000
Ir  0.5004  0.5004  0.5004
Ir  0.7416  0.7416  0.7416
Se  0.2435  0.2435  0.2435

No. 3
A plane-wave DFT calculation with GGA-PBEsol was carried out for MnAs after structural relaxation.

Space-group type: P6_3/mmc (194)
Total moment: 2.46 μB per formula unit
ΔH_f (0 K): -0.20 eV/atom

Lattice parameters (Å, degrees): 3.5774 3.5774 5.3405 90.00 90.00 120.00
Sites, in units of the cell vectors:
Mn  0.0000  0.0000  0.0000
Mn  0.0000  0.0000  0.5000
As  0.3333  0.6667  0.2500
As  0.6667  0.3333  0.7500

No. 4
A plane-wave DFT calculation with GGA-PBEsol was carried out for KBa2Fe after structural relaxation.

Space-group type: P4/mmm (123)
Total moment: 1.86 μB per formula unit
ΔH_f (0 K): 0.50 eV/atom

Lattice parameters (Å, degrees): 3.9300 3.9300 11.0673 90.00 90.00 90.00
Sites, in units of the cell vectors:
K  0.0000  0.0000  0.0000
Ba  0.5000  0.5000  0.3336
Ba  0.5000  0.5000  0.6664
Fe  0.0000  0.0000  0.5000

No. 5
A plane-wave DFT calculation with GGA-PBEsol was carried out for LaCr3Se after structural relaxation.

Space-group type: Pm-3m (221)
Total moment: 6.95 μB per formula unit
Uncorrected formation energy: 0.62 eV per atom

Lattice parameters (Å, degrees): 4.5761 4.5761 4.5761 90.00 90.00 90.00
Sites, in units of the cell vectors:
La  0.0000  0.0000  0.0000
Cr  0.0000  0.5000  0.5000
Cr  0.5000  0.0000  0.5000
Cr  0.5000  0.5000  0.0000
Se  0.5000  0.5000  0.5000

No. 6
A plane-wave DFT calculation with GGA-PBEsol was carried out for TlIn3 after structural relaxation.

Space-group type: Fm-3m (225)
Total moment: 0.00 μB per formula unit
ΔH_f (0 K): 0.02 eV/atom

Lattice parameters (Å, degrees): 5.2953 5.2953 5.2953 60.00 60.00 60.00
Sites, in units of the cell vectors:
Tl  0.0000  0.0000  0.0000
In  0.2500  0.2500  0.2500
In  0.5000  0.5000  0.5000
In  0.7500  0.7500  0.7500

No. 7
A plane-wave DFT calculation with GGA-PBEsol was carried out for ZrInAs2 after structural relaxation.

Space-group type: R-3m (166)
Total moment: 0.00 μB per formula unit
ΔH_f (0 K): -0.52 eV/atom

Lattice parameters (Å, degrees): 7.3401 7.3401 7.3401 29.96 29.96 29.96
Sites, in units of the cell vectors:
Zr  0.0000  0.0000  0.0000
In  0.5000  0.5000  0.5000
As  0.2562  0.2562  0.2562
As  0.7438  0.7438  0.7438

No. 8
A plane-wave DFT calculation with GGA-PBEsol was carried out for Fe3Ge2 after structural relaxation.

Space-group type: P-3m1 (164)
Total moment: 3.85 μB per formula unit
ΔH_f (0 K): -0.02 eV/atom

Lattice parameters (Å, degrees): 3.9199 3.9199 4.7949 90.00 90.00 120.00
Sites, in units of the cell vectors:
Fe  0.0000  0.0000  0.0000
Fe  0.3333  0.6667  0.1591
Fe  0.6667  0.3333  0.8409
Ge  0.3333  0.6667  0.6608
Ge  0.6667  0.3333  0.3392

No. 9
A plane-wave DFT calculation with GGA-PBEsol was carried out for DyHo3 after structural relaxation.

Space-group type: I4/mmm (139)
Distance to the lowest polymorph of the same formula: 0.003 eV per atom
Total moment: 0.00 μB per formula unit
ΔH_f (0 K): 0.02 eV/atom

Lattice parameters (Å, degrees): 5.9712 5.9712 5.9712 131.83 131.83 70.50
Sites, in units of the cell vectors:
Dy  0.0000  0.0000  0.0000
Ho  0.2500  0.7500  0.5000
Ho  0.5000  0.5000  0.0000
Ho  0.7500  0.2500  0.5000

No. 10
A plane-wave DFT calculation with GGA-PBEsol was carried out for BeHg2 after structural relaxation.

Space-group type: Pnnm (58)
Total moment: 0.00 μB per formula unit
ΔH_f (0 K): 0.28 eV/atom

Lattice parameters (Å, degrees): 6.1899 6.1938 3.1029 90.00 90.00 90.00
Sites, in units of the cell vectors:
Be  0.0000  0.0000  0.0000
Be  0.5000  0.5000  0.5000
Hg  0.2241  0.2217  0.5000
Hg  0.2759  0.7217  0.0000
Hg  0.7241  0.2783  0.0000
Hg  0.7759  0.7783  0.5000

No. 11
A plane-wave DFT calculation with GGA-PBEsol was carried out for KRu2Se after structural relaxation.

Space-group type: Pmmm (47)
Total moment: 1.80 μB per formula unit
Uncorrected formation energy: 1.04 eV per atom

Lattice parameters (Å, degrees): 2.6814 4.9494 5.3296 90.00 90.00 90.00
Sites, in units of the cell vectors:
K  0.0000  0.0000  0.0000
Ru  0.0000  0.5000  0.5000
Ru  0.5000  0.0000  0.5000
Se  0.5000  0.5000  0.0000

No. 12
A plane-wave DFT calculation with GGA-PBEsol was carried out for CoIrOs2 after structural relaxation.

Space-group type: P4/mmm (123)
Distance to the lowest polymorph of the same formula: 0.053 eV per atom
Total moment: 0.79 μB per formula unit
ΔH_f (0 K): 0.14 eV/atom

Lattice parameters (Å, degrees): 2.6597 2.6597 7.3874 90.00 90.00 90.00
Sites, in units of the cell vectors:
Co  0.0000  0.0000  0.0000
Ir  0.0000  0.0000  0.5000
Os  0.5000  0.5000  0.2365
Os  0.5000  0.5000  0.7635

No. 13
A plane-wave DFT calculation with GGA-PBEsol was carried out for CrTc2W after structural relaxation.

Space-group type: P4mm (99)
Total moment: 0.00 μB per formula unit
ΔH_f (0 K): 0.10 eV/atom

Lattice parameters (Å, degrees): 3.0071 3.0071 6.1049 90.00 90.00 90.00
Sites, in units of the cell vectors:
Cr  0.0000  0.0000  0.0000
Tc  0.0000  0.0000  0.5038
Tc  0.5000  0.5000  0.2219
W  0.5000  0.5000  0.7541

No. 14
A plane-wave DFT calculation with GGA-PBEsol was carried out for CdPCl2 after structural relaxation.

Space-group type: Immm (71)
Distance to the lowest polymorph of the same formula: 0.000 eV per atom
Total moment: 0.00 μB per formula unit
Uncorrected formation energy: -0.04 eV per atom

Lattice parameters (Å, degrees): 6.2455 6.2455 6.2455 149.75 131.12 58.57
Sites, in units of the cell vectors:
Cd  0.0000  0.0000  0.0000
P  0.5000  0.5000  0.0000
Cl  0.3336  0.8336  0.5000
Cl  0.6664  0.1664  0.5000

No. 15
A plane-wave DFT calculation with GGA-PBEsol was carried out for HfScOs2 after structural relaxation.

Space-group type: Fm-3m (225)
Total moment: 0.00 μB per formula unit
ΔH_f (0 K): -0.55 eV/atom

Lattice parameters (Å, degrees): 4.5161 4.5161 4.5161 60.00 60.00 60.00
Sites, in units of the cell vectors:
Hf  0.0000  0.0000  0.0000
Sc  0.5000  0.5000  0.5000
Os  0.2500  0.2500  0.2500
Os  0.7500  0.7500  0.7500

No. 16
A plane-wave DFT calculation with GGA-PBEsol was carried out for SnBiSeBr2 after structural relaxation.

Space-group type: P4/mmm (123)
Total moment: 0.00 μB per formula unit
Uncorrected formation energy: 0.04 eV per atom

Lattice parameters (Å, degrees): 5.3797 5.3797 5.3616 90.00 90.00 90.00
Sites, in units of the cell vectors:
Sn  0.0000  0.0000  0.0000
Bi  0.5000  0.5000  0.5000
Se  0.0000  0.0000  0.5000
Br  0.0000  0.5000  0.0000
Br  0.5000  0.0000  0.0000

No. 17
A plane-wave DFT calculation with GGA-PBEsol was carried out for SrPbSeN2 after structural relaxation.

Space-group type: P4/mmm (123)
Total moment: 4.00 μB per formula unit
Uncorrected formation energy: 1.07 eV per atom

Lattice parameters (Å, degrees): 4.6806 4.6806 5.8847 90.00 90.00 90.00
Sites, in units of the cell vectors:
Sr  0.0000  0.0000  0.0000
Pb  0.5000  0.5000  0.5000
Se  0.0000  0.0000  0.5000
N  0.0000  0.5000  0.0000
N  0.5000  0.0000  0.0000

No. 18
A plane-wave DFT calculation with GGA-PBEsol was carried out for KSbMo2 after structural relaxation.

Space-group type: I4/mmm (139)
Total moment: 0.00 μB per formula unit
Uncorrected formation energy: 1.33 eV per atom

Lattice parameters (Å, degrees): 5.4340 5.4340 5.4340 135.52 135.52 64.73
Sites, in units of the cell vectors:
K  0.0000  0.0000  0.0000
Sb  0.5000  0.5000  0.0000
Mo  0.2500  0.7500  0.5000
Mo  0.7500  0.2500  0.5000

No. 19
A plane-wave DFT calculation with GGA-PBEsol was carried out for BeCo2Tc after structural relaxation.

Space-group type: P4mm (99)
Distance to the lowest polymorph of the same formula: 0.161 eV per atom
Total moment: 1.66 μB per formula unit
ΔH_f (0 K): -0.05 eV/atom

Lattice parameters (Å, degrees): 2.6224 2.6224 6.0145 90.00 90.00 90.00
Sites, in units of the cell vectors:
Be  0.0000  0.0000  0.0000
Co  0.0000  0.0000  0.4520
Co  0.5000  0.5000  0.1938
Tc  0.5000  0.5000  0.7312

No. 20
A plane-wave DFT calculation with GGA-PBEsol was carried out for B2S3 after structural relaxation.

Space-group type: P2_1/c (14)
Total moment: 0.00 μB per formula unit
Uncorrected formation energy: -0.40 eV per atom

Lattice parameters (Å, degrees): 4.0642 10.7557 18.8183 90.00 96.39 90.00
Sites, in units of the cell vectors:
B  0.0388  0.2209  0.2415
B  0.0388  0.2791  0.7415
B  0.0730  0.5315  0.6810
B  0.0730  0.9685  0.1810
B  0.2390  0.1885  0.0976
B  0.2390  0.3115  0.5976
B  0.4435  0.0986  0.5091
B  0.4435  0.4014  0.0091
B  0.5565  0.5986  0.9909
B  0.5565  0.9014  0.4909
B  0.7610  0.6885  0.4024
B  0.7610  0.8115  0.9024
B  0.9270  0.0315  0.8190
B  0.9270  0.4685  0.3190
B  0.9612  0.7209  0.2585
B  0.9612  0.7791  0.7585
S  0.0201  0.5563  0.2429
S  0.0201  0.9437  0.7429
S  0.0584  0.7007  0.6776
S  0.0584  0.7993  0.1776
S  0.1751  0.1992  0.6660
S  0.1751  0.3008  0.1660
S  0.1957  0.0218  0.0967
S  0.1957  0.4782  0.5967
S  0.3758  0.2363  0.0126
S  0.3758  0.2637  0.5126
S  0.4062  0.5300  0.0706
S  0.4062  0.9700  0.5706
S  0.5938  0.0300  0.4294
S  0.5938  0.4700  0.9294
S  0.6242  0.7363  0.4874
S  0.6242  0.7637  0.9874
S  0.8043  0.5218  0.4033
S  0.8043  0.9782  0.9033
S  0.8249  0.6992  0.8340
S  0.8249  0.8008  0.3340
S  0.9416  0.2007  0.8224
S  0.9416  0.2993  0.3224
S  0.9799  0.0563  0.2571
S  0.9799  0.4437  0.7571